# BeBiIrW2 | Alexandria | PBE-GGA | optimized geometry
data_BeBiIrW2
_cell_length_a 4.381
_cell_length_b 4.381
_cell_length_c 4.303
_cell_angle_alpha 90.00
_cell_angle_beta 90.00
_cell_angle_gamma 90.00
_space_group_name_H-M_alt 'P 4/m m m'
_space_group_IT_number 123
_space_group_name_Hall '-P 4 2'
loop_
_atom_site_label
_atom_site_type_symbol
_atom_site_fract_x
_atom_site_fract_y
_atom_site_fract_z
Be1 Be 0.000 0.000 0.000
Bi1 Bi 0.500 0.500 0.500
Ir1 Ir 0.000 0.000 0.500
W1 W 0.000 0.500 0.000
# E_form: 0.92 eV per atom
# calculated total energy: -7.5598 eV/atom
# M_tot: 0.00 μB/f.u.

=====

# K2BeBi | Alexandria | PBE-GGA | optimized geometry
data_K2BeBi
_cell_length_a 4.720
_cell_length_b 4.720
_cell_length_c 23.762
_cell_angle_alpha 90.00
_cell_angle_beta 90.00
_cell_angle_gamma 90.00
_space_group_name_H-M_alt 'I -4 2 d'
_space_group_IT_number 122
_space_group_name_Hall 'I -4 2bw'
loop_
_atom_site_label
_atom_site_type_symbol
_atom_site_fract_x
_atom_site_fract_y
_atom_site_fract_z
K1 K 0.235 0.250 0.125
Be1 Be 0.000 0.000 0.000
Bi1 Bi 0.000 0.000 0.500
# E above lowest polymorph: 129 meV per atom
# E_form: 0.61 eV per atom
# calculated total energy: -1.8401 eV/atom
# M_tot: 0.00 μB/f.u.

=====

# KBe3Bi | Alexandria | PBE-GGA | optimized geometry
data_KBe3Bi
_cell_length_a 5.056
_cell_length_b 5.056
_cell_length_c 5.056
_cell_angle_alpha 90.00
_cell_angle_beta 90.00
_cell_angle_gamma 90.00
_space_group_name_H-M_alt 'P m -3 m'
_space_group_IT_number 221
_space_group_name_Hall '-P 4 2 3'
loop_
_atom_site_label
_atom_site_type_symbol
_atom_site_fract_x
_atom_site_fract_y
_atom_site_fract_z
K1 K 0.000 0.000 0.000
Be1 Be 0.000 0.000 0.500
Bi1 Bi 0.500 0.500 0.500
# E above lowest polymorph: 857 meV per atom
# E_form: 2.09 eV per atom
# calculated total energy: -1.1370 eV/atom
# M_tot: 0.00 μB/f.u.

=====

# K2BeBi2 | Alexandria | PBE-GGA | optimized geometry
data_K2BeBi2
_cell_length_a 4.518
_cell_length_b 4.518
_cell_length_c 20.155
_cell_angle_alpha 90.00
_cell_angle_beta 90.00
_cell_angle_gamma 90.00
_space_group_name_H-M_alt 'I 4/m m m'
_space_group_IT_number 139
_space_group_name_Hall '-I 4 2'
loop_
_atom_site_label
_atom_site_type_symbol
_atom_site_fract_x
_atom_site_fract_y
_atom_site_fract_z
K1 K 0.000 0.000 0.100
Be1 Be 0.000 0.000 0.500
Bi1 Bi 0.000 0.500 0.250
# E above lowest polymorph: 431 meV per atom
# E_form: 0.43 eV per atom
# calculated total energy: -2.3031 eV/atom
# M_tot: 0.00 μB/f.u.

=====

# K2BeBi2 | Alexandria | PBE-GGA | optimized geometry
data_K2BeBi2
_cell_length_a 10.337
_cell_length_b 10.337
_cell_length_c 3.643
_cell_angle_alpha 90.00
_cell_angle_beta 90.00
_cell_angle_gamma 90.00
_space_group_name_H-M_alt 'P 4/m b m'
_space_group_IT_number 127
_space_group_name_Hall '-P 4 2ab'
loop_
_atom_site_label
_atom_site_type_symbol
_atom_site_fract_x
_atom_site_fract_y
_atom_site_fract_z
K1 K 0.194 0.306 0.000
Be1 Be 0.000 0.000 0.000
Bi1 Bi 0.101 0.601 0.500
# E above lowest polymorph: 450 meV per atom
# E_form: 0.45 eV per atom
# calculated total energy: -2.2843 eV/atom
# M_tot: 0.00 μB/f.u.

=====

# K2BeBi2 | Alexandria | PBE-GGA | optimized geometry
data_K2BeBi2
_cell_length_a 7.391
_cell_length_b 7.391
_cell_length_c 5.933
_cell_angle_alpha 90.00
_cell_angle_beta 90.00
_cell_angle_gamma 90.00
_space_group_name_H-M_alt 'P 4/m b m'
_space_group_IT_number 127
_space_group_name_Hall '-P 4 2ab'
loop_
_atom_site_label
_atom_site_type_symbol
_atom_site_fract_x
_atom_site_fract_y
_atom_site_fract_z
K1 K 0.164 0.336 0.000
Be1 Be 0.000 0.000 0.500
Bi1 Bi 0.155 0.655 0.500
# E above lowest polymorph: 0 meV per atom
# E_form: 0.00 eV per atom
# calculated total energy: -2.7345 eV/atom
# M_tot: 0.00 μB/f.u.

=====

# KBe3Bi | Alexandria | PBE-GGA | optimized geometry
data_KBe3Bi
_cell_length_a 5.204
_cell_length_b 5.204
_cell_length_c 5.204
_cell_angle_alpha 90.00
_cell_angle_beta 90.00
_cell_angle_gamma 90.00
_space_group_name_H-M_alt 'P m -3 m'
_space_group_IT_number 221
_space_group_name_Hall '-P 4 2 3'
loop_
_atom_site_label
_atom_site_type_symbol
_atom_site_fract_x
_atom_site_fract_y
_atom_site_fract_z
K1 K 0.000 0.000 0.000
Be1 Be 0.000 0.500 0.500
Bi1 Bi 0.500 0.500 0.500
# E above lowest polymorph: 0 meV per atom
# E_form: 1.24 eV per atom
# calculated total energy: -1.9937 eV/atom
# M_tot: 0.00 μB/f.u.

=====

# K2BeBi | Alexandria | PBE-GGA | optimized geometry
data_K2BeBi
_cell_length_a 8.209
_cell_length_b 8.209
_cell_length_c 8.209
_cell_angle_alpha 90.00
_cell_angle_beta 90.00
_cell_angle_gamma 90.00
_space_group_name_H-M_alt 'F m -3 m'
_space_group_IT_number 225
_space_group_name_Hall '-F 4 2 3'
loop_
_atom_site_label
_atom_site_type_symbol
_atom_site_fract_x
_atom_site_fract_y
_atom_site_fract_z
K1 K 0.250 0.250 0.250
Be1 Be 0.000 0.000 0.000
Bi1 Bi 0.000 0.000 0.500
# E above lowest polymorph: 0 meV per atom
# E_form: 0.48 eV per atom
# calculated total energy: -1.9693 eV/atom
# M_tot: 0.00 μB/f.u.

=====

# KBeBi3 | Alexandria | PBE-GGA | optimized geometry
data_KBeBi3
_cell_length_a 5.350
_cell_length_b 5.350
_cell_length_c 5.350
_cell_angle_alpha 90.00
_cell_angle_beta 90.00
_cell_angle_gamma 90.00
_space_group_name_H-M_alt 'P m -3 m'
_space_group_IT_number 221
_space_group_name_Hall '-P 4 2 3'
loop_
_atom_site_label
_atom_site_type_symbol
_atom_site_fract_x
_atom_site_fract_y
_atom_site_fract_z
K1 K 0.000 0.000 0.000
Be1 Be 0.500 0.500 0.500
Bi1 Bi 0.000 0.500 0.500
# E above lowest polymorph: 0 meV per atom
# E_form: 0.19 eV per atom
# calculated total energy: -3.1063 eV/atom
# M_tot: 0.00 μB/f.u.

=====

# KBeBi3 | Alexandria | PBE-GGA | optimized geometry
data_KBeBi3
_cell_length_a 5.946
_cell_length_b 5.946
_cell_length_c 5.946
_cell_angle_alpha 90.00
_cell_angle_beta 90.00
_cell_angle_gamma 90.00
_space_group_name_H-M_alt 'P m -3 m'
_space_group_IT_number 221
_space_group_name_Hall '-P 4 2 3'
loop_
_atom_site_label
_atom_site_type_symbol
_atom_site_fract_x
_atom_site_fract_y
_atom_site_fract_z
K1 K 0.000 0.000 0.000
Be1 Be 0.500 0.500 0.500
Bi1 Bi 0.000 0.000 0.500
# E above lowest polymorph: 1418 meV per atom
# E_form: 1.61 eV per atom
# calculated total energy: -1.6883 eV/atom
# M_tot: 0.00 μB/f.u.

=====

# KNaBeBi2 | Alexandria | PBE-GGA | optimized geometry
data_KNaBeBi2
_cell_length_a 5.287
_cell_length_b 5.287
_cell_length_c 5.516
_cell_angle_alpha 90.00
_cell_angle_beta 90.00
_cell_angle_gamma 90.00
_space_group_name_H-M_alt 'P 4/m m m'
_space_group_IT_number 123
_space_group_name_Hall '-P 4 2'
loop_
_atom_site_label
_atom_site_type_symbol
_atom_site_fract_x
_atom_site_fract_y
_atom_site_fract_z
K1 K 0.000 0.000 0.000
Na1 Na 0.500 0.500 0.000
Be1 Be 0.500 0.500 0.500
Bi1 Bi 0.000 0.500 0.500
# E_form: 0.07 eV per atom
# calculated total energy: -2.7065 eV/atom
# M_tot: 0.00 μB/f.u.

=====

# KBeBiO3 | Alexandria | PBE-GGA | optimized geometry
data_KBeBiO3
_cell_length_a 7.338
_cell_length_b 3.326
_cell_length_c 7.920
_cell_angle_alpha 90.00
_cell_angle_beta 100.00
_cell_angle_gamma 90.00
_space_group_name_H-M_alt 'P 1 21/m 1'
_space_group_IT_number 11
loop_
_space_group_symop_operation_xyz
'x,y,z'
'-x,-y,-z'
'-x,y+1/2,-z'
'x,-y+1/2,z'
loop_
_atom_site_label
_atom_site_type_symbol
_atom_site_fract_x
_atom_site_fract_y
_atom_site_fract_z
K1 K 0.188 0.250 0.157
Be1 Be 0.417 0.750 0.919
Bi1 Bi 0.195 0.250 0.625
O1 O 0.102 0.750 0.401
O2 O 0.200 0.750 0.830
O3 O 0.492 0.750 0.122
# energy relative to the elements, uncorrected: -1.719 eV per atom
# calculated total energy: -5.6485 eV/atom
# M_tot: 0.00 μB/f.u.

=====

# KBe2BiO | Alexandria | PBE-GGA | optimized geometry
data_KBe2BiO
_cell_length_a 4.997
_cell_length_b 4.997
_cell_length_c 4.679
_cell_angle_alpha 90.00
_cell_angle_beta 90.00
_cell_angle_gamma 90.00
_space_group_name_H-M_alt 'P 4/m m m'
_space_group_IT_number 123
_space_group_name_Hall '-P 4 2'
loop_
_atom_site_label
_atom_site_type_symbol
_atom_site_fract_x
_atom_site_fract_y
_atom_site_fract_z
K1 K 0.000 0.000 0.000
Be1 Be 0.000 0.500 0.500
Bi1 Bi 0.500 0.500 0.500
O1 O 0.500 0.500 0.000
# energy relative to the elements, uncorrected: 0.578 eV per atom
# calculated total energy: -2.8995 eV/atom
# M_tot: 0.00 μB/f.u.